Entry 1:
Below is crystalline Nb2Tc2As at its relaxed geometry, with properties calculated at the PBE level.

Unit cell a=7.930 b=7.930 c=7.930 alpha=155.08 beta=155.08 gamma=35.53
Fractional positions:
Nb: 0.097 0.097 0.000
Nb: 0.903 0.903 0.000
Tc: 0.250 0.750 0.500
Tc: 0.750 0.250 0.500
As: 0.500 0.500 0.000

Computed properties:
**Space group**: No. 139
**DFT total energy**: -44.856 eV/cell
**E above lowest polymorph**: 0.000 eV per formula unit
**ΔH_f (0 K)**: 0.133 eV per atom



Entry 2:
Below is crystalline LuZr2In at its relaxed geometry, with properties calculated at the PBE level.

Unit cell a=3.248 b=3.248 c=9.148 alpha=90.00 beta=90.00 gamma=90.00
Fractional positions:
Lu: 0.000 0.000 0.000
Zr: 0.500 0.500 0.264
Zr: 0.500 0.500 0.736
In: 0.000 0.000 0.500

Computed properties:
**Space group**: No. 123
**DFT total energy**: -24.771 eV/cell
**E above lowest polymorph**: 0.394 eV per formula unit
**ΔH_f (0 K)**: -0.104 eV per atom



Entry 3:
Below is crystalline LaPm4Si4 at its relaxed geometry, with properties calculated at the PBE level.

Unit cell a=9.290 b=9.290 c=5.945 alpha=90.00 beta=90.00 gamma=90.00
Fractional positions:
La: 0.250 0.250 0.250
La: 0.750 0.750 0.750
Pm: 0.078 0.657 0.123
Pm: 0.157 0.922 0.623
Pm: 0.343 0.578 0.623
Pm: 0.422 0.843 0.123
Pm: 0.578 0.157 0.877
Pm: 0.657 0.422 0.377
Pm: 0.843 0.078 0.377
Pm: 0.922 0.343 0.877
Si: 0.026 0.607 0.618
Si: 0.107 0.974 0.118
Si: 0.393 0.526 0.118
Si: 0.474 0.893 0.618
Si: 0.526 0.107 0.382
Si: 0.607 0.474 0.882
Si: 0.893 0.026 0.882
Si: 0.974 0.393 0.382

Computed properties:
**Space group**: No. 86
**DFT total energy**: -99.180 eV/cell



Entry 4:
Below is crystalline Ca2Ac3PrTe6 at its relaxed geometry, with properties calculated at the PBE level.

Unit cell a=8.007 b=8.007 c=8.032 alpha=99.57 beta=99.57 gamma=120.08
Fractional positions:
Ca: 0.167 0.833 0.000
Ca: 0.833 0.167 0.000
Ac: 0.000 0.000 0.500
Ac: 0.335 0.665 0.500
Ac: 0.665 0.335 0.500
Pr: 0.500 0.500 0.000
Te: 0.084 0.422 0.767
Te: 0.238 0.238 0.232
Te: 0.422 0.084 0.767
Te: 0.578 0.916 0.233
Te: 0.762 0.762 0.768
Te: 0.916 0.578 0.233

Computed properties:
**Space group**: No. 12
**DFT total energy**: -58.137 eV/cell



Number 1: total magnetization 0.0 μB per formula unit. Number 2: total magnetization 0.0 μB per formula unit. Number 3: total magnetization 0.0 μB per formula unit. Number 4: total magnetization 0.0 μB per formula unit.